# CaWN2F | the Alexandria database | PBE with a Hubbard U | optimized geometry
# Distance to the lowest polymorph of the same formula, meV/atom: 0.0
# E_tot, eV/atom: -6.55
# Crystal system: tetragonal
data_CaWN2F
_space_group_name_H-M_alt 'P 4/m m m'
_space_group_IT_number 123
_space_group_name_Hall '-P 4 2'
_cell_length_a 4.057
_cell_length_b 4.057
_cell_length_c 4.130
_cell_angle_alpha 90.00
_cell_angle_beta 90.00
_cell_angle_gamma 90.00
loop_
_atom_site_label
_atom_site_fract_x
_atom_site_fract_y
_atom_site_fract_z
_atom_site_occupancy
Ca1 0.000 0.000 0.000 1
W1 0.500 0.500 0.500 1
N1 0.000 0.500 0.500 1
F1 0.500 0.500 0.000 1